i | # Ho2TmRu

Crystalline Ho2TmRu at its relaxed geometry (PBE-GGA, Alexandria).

Cell: 3.906 11.738 9.006 Å, 90.00 90.00 90.00°
Sites, in units of the cell vectors:
1 Ho 0.000 0.142 0.066
2 Ho 0.000 0.142 0.434
3 Ho 0.000 0.858 0.566
4 Ho 0.000 0.858 0.934
5 Ho 0.500 0.358 0.566
6 Ho 0.500 0.358 0.934
7 Ho 0.500 0.642 0.066
8 Ho 0.500 0.642 0.434
9 Tm 0.000 0.424 0.250
10 Tm 0.000 0.576 0.750
11 Tm 0.500 0.076 0.750
12 Tm 0.500 0.924 0.250
13 Ru 0.000 0.242 0.750
14 Ru 0.000 0.758 0.250
15 Ru 0.500 0.258 0.250
16 Ru 0.500 0.742 0.750

=====

ii | # Ho2TmRu

Crystalline Ho2TmRu at its relaxed geometry (PBE-GGA, Alexandria).

Cell: 3.466 3.466 31.688 Å, 90.00 90.00 120.00°
Sites, in units of the cell vectors:
1 Ho 0.000 0.000 0.106
2 Ho 0.000 0.000 0.894
3 Ho 0.333 0.667 0.560
4 Ho 0.333 0.667 0.773
5 Ho 0.667 0.333 0.227
6 Ho 0.667 0.333 0.440
7 Tm 0.000 0.000 0.000
8 Tm 0.333 0.667 0.667
9 Tm 0.667 0.333 0.333
10 Ru 0.000 0.000 0.500
11 Ru 0.333 0.667 0.167
12 Ru 0.667 0.333 0.833

=====

Which structure is the least stable? The one labeled ii.

=====

i | # HoTm3Ru3

Crystalline HoTm3Ru3 at its relaxed geometry (PBE-GGA, Alexandria).

Cell: 6.749 6.749 6.671 Å, 90.07 90.07 90.49°
Sites, in units of the cell vectors:
1 Ho 0.250 0.250 0.001
2 Ho 0.750 0.750 0.999
3 Tm 0.241 0.759 0.000
4 Tm 0.245 0.245 0.501
5 Tm 0.245 0.755 0.500
6 Tm 0.755 0.245 0.500
7 Tm 0.755 0.755 0.499
8 Tm 0.759 0.241 0.000
9 Ru 0.000 0.000 0.251
10 Ru 0.000 0.000 0.749
11 Ru 0.000 0.500 0.251
12 Ru 0.000 0.500 0.749
13 Ru 0.500 0.000 0.251
14 Ru 0.500 0.000 0.749

=====

ii | # HoTm3Ru3

Crystalline HoTm3Ru3 at its relaxed geometry (PBE-GGA, Alexandria).

Cell: 5.773 5.773 5.773 Å, 109.52 109.52 109.52°
Sites, in units of the cell vectors:
1 Ho 0.000 0.000 0.000
2 Tm 0.171 0.586 0.586
3 Tm 0.586 0.171 0.586
4 Tm 0.586 0.586 0.171
5 Ru 0.087 0.087 0.586
6 Ru 0.087 0.586 0.087
7 Ru 0.586 0.087 0.087

=====

Which structure is the least stable? The one labeled i.

=====

i | # Ho3TmRu3

Crystalline Ho3TmRu3 at its relaxed geometry (PBE-GGA, Alexandria).

Cell: 6.776 6.776 6.698 Å, 90.07 90.07 89.54°
Sites, in units of the cell vectors:
1 Ho 0.246 0.246 0.001
2 Ho 0.246 0.754 0.000
3 Ho 0.250 0.750 0.500
4 Ho 0.750 0.250 0.500
5 Ho 0.754 0.246 0.000
6 Ho 0.754 0.754 0.999
7 Tm 0.241 0.241 0.501
8 Tm 0.759 0.759 0.499
9 Ru 0.000 0.000 0.251
10 Ru 0.000 0.000 0.749
11 Ru 0.000 0.500 0.251
12 Ru 0.000 0.500 0.749
13 Ru 0.500 0.000 0.251
14 Ru 0.500 0.000 0.749

=====

ii | # Ho3TmRu3

Crystalline Ho3TmRu3 at its relaxed geometry (PBE-GGA, Alexandria).

Cell: 5.793 5.793 5.793 Å, 109.43 109.43 109.43°
Sites, in units of the cell vectors:
1 Ho 0.195 0.195 0.609
2 Ho 0.195 0.609 0.195
3 Ho 0.609 0.195 0.195
4 Tm 0.780 0.780 0.780
5 Ru 0.195 0.696 0.696
6 Ru 0.696 0.195 0.696
7 Ru 0.696 0.696 0.195

=====

Which structure is the least stable? The one labeled i.

=====

i | # HoTm2Ru2

Crystalline HoTm2Ru2 at its relaxed geometry (PBE-GGA, Alexandria).

Cell: 3.379 19.991 3.352 Å, 90.00 90.00 90.00°
Sites, in units of the cell vectors:
1 Ho 0.000 0.000 0.000
2 Ho 0.500 0.500 0.000
3 Tm 0.000 0.166 0.000
4 Tm 0.000 0.834 0.000
5 Tm 0.500 0.334 0.000
6 Tm 0.500 0.666 0.000
7 Ru 0.000 0.410 0.500
8 Ru 0.000 0.590 0.500
9 Ru 0.500 0.090 0.500
10 Ru 0.500 0.910 0.500

=====

ii | # HoTm2Ru2

Crystalline HoTm2Ru2 at its relaxed geometry (PBE-GGA, Alexandria).

Cell: 5.377 4.390 10.071 Å, 90.00 98.40 90.00°
Sites, in units of the cell vectors:
1 Ho 0.071 0.250 0.279
2 Ho 0.929 0.750 0.721
3 Tm 0.256 0.250 0.973
4 Tm 0.389 0.250 0.613
5 Tm 0.611 0.750 0.387
6 Tm 0.744 0.750 0.027
7 Ru 0.135 0.750 0.453
8 Ru 0.253 0.750 0.150
9 Ru 0.747 0.250 0.850
10 Ru 0.865 0.250 0.547

=====

Which structure is the least stable? The one labeled ii.

=====

i | # HoURu3

Crystalline HoURu3 at its relaxed geometry (PBE-GGA, Alexandria).

Cell: 5.665 5.691 6.652 Å, 81.14 80.58 60.42°
Sites, in units of the cell vectors:
1 Ho 0.160 0.163 0.065
2 Ho 0.840 0.837 0.935
3 U 0.000 0.000 0.500
4 U 0.500 0.500 0.000
5 Ru 0.105 0.592 0.314
6 Ru 0.394 0.394 0.698
7 Ru 0.395 0.902 0.681
8 Ru 0.605 0.098 0.319
9 Ru 0.606 0.606 0.302
10 Ru 0.895 0.408 0.686

=====

ii | # HoURu3

Crystalline HoURu3 at its relaxed geometry (PBE-GGA, Alexandria).

Cell: 6.438 6.438 6.438 Å, 126.25 108.75 95.00°
Sites, in units of the cell vectors:
1 Ho 0.258 0.008 0.250
2 Ho 0.742 0.992 0.750
3 U 0.000 0.500 0.500
4 U 0.500 0.500 0.000
5 Ru 0.064 0.314 0.750
6 Ru 0.309 0.000 0.809
7 Ru 0.309 0.500 0.309
8 Ru 0.691 0.000 0.191
9 Ru 0.691 0.500 0.691
10 Ru 0.936 0.686 0.250

=====

Which structure is the least stable? The one labeled i.